The following is a PBE calculation of an optimized crystal structure of Na2AlGa, from Alexandria via LeMat-Bulk.

```
Na2AlGa
1.0
4.5631 -0.0127 -0.0102
-2.2711 3.9577 0.0102
-2.2728 -1.3179 5.3453
Na Ga Al
2 1 1
Direct
0.1547 0.8273 0.9820
0.5937 0.0469 0.6406
0.7086 0.6042 0.3128
0.0430 0.2716 0.3146
```

Values from the calculation:
- DFT formation energy: -0.022 eV per atom
- N(E_F): 1.04 states/eV/cell